Record 1
## Os3SN (meta-GGA SCAN)

Data for a crystal of Os3SN relaxed with PBEsol.

Summary:
Mass density = 13.17 g/cm3
Calculated volume = 78 Å³/cell
Uncorrected formation energy = 12.8 eV/f.u.
Crystal system = cubic
Fermi-level density of states = 0.771 states/eV/atom
Total DFT energy (no corrections) = -1.630 Ha/atom
Spin magnetization = 3.705 Bohr magnetons per cell

a = 4.2679 Å, b = 4.2679 Å, c = 4.2679 Å
α = 90.00°, β = 90.00°, γ = 90.00°
Last column: nearest neighbours and their distance in Å.
Element x y z (fractional)
N (0.5000, 0.5000, 0.5000)  12 Os 3.02
Os (0.5000, 0.0000, 0.0000)  2 S 2.13
Os (0.0000, 0.0000, 0.5000)  2 S 2.13
Os (0.0000, 0.5000, 0.0000)  2 S 2.13
S (0.0000, 0.0000, 0.0000)  6 Os 2.13

---

Record 2
## SrOsS2N (meta-GGA SCAN)

Data for a crystal of SrOsS2N relaxed with PBEsol.

Summary:
Mass density = 6.61 g/cm3
Calculated volume = 89 Å³/cell
Uncorrected formation energy = -3.1 eV/f.u.
Crystal system = tetragonal
Fermi-level density of states = 0.598 states/eV/atom
Total DFT energy (no corrections) = -0.925 Ha/atom
Spin magnetization = 0.000 Bohr magnetons per cell

a = 3.7285 Å, b = 4.8968 Å, c = 4.8968 Å
α = 90.00°, β = 90.00°, γ = 90.00°
Last column: nearest neighbours and their distance in Å.
Element x y z (fractional)
S (0.0000, 0.5000, 0.0000)  2 Os 2.45
S (0.0000, 0.0000, 0.5000)  2 Os 2.45
Os (0.0000, 0.0000, 0.0000)  2 N 1.86
N (0.5000, 0.0000, 0.0000)  2 Os 1.86
Sr (0.5000, 0.5000, 0.5000)  8 S 3.08

---

Record 3
## TeOsSN2 (meta-GGA SCAN)

Data for a crystal of TeOsSN2 relaxed with PBEsol.

Summary:
Mass density = 8.13 g/cm3
Calculated volume = 77 Å³/cell
Uncorrected formation energy = 11.0 eV/f.u.
Crystal system = tetragonal
Fermi-level density of states = 0.462 states/eV/atom
Total DFT energy (no corrections) = -0.929 Ha/atom
Spin magnetization = 3.516 Bohr magnetons per cell

a = 3.8345 Å, b = 3.8345 Å, c = 5.2480 Å
α = 90.00°, β = 90.00°, γ = 90.00°
Last column: nearest neighbours and their distance in Å.
Element x y z (fractional)
N (0.5000, 0.0000, 0.0000)  2 Te 1.92
N (0.0000, 0.5000, 0.0000)  2 Te 1.92
Os (0.5000, 0.5000, 0.5000)  4 S 2.71
S (0.0000, 0.0000, 0.5000)  2 Te 2.62, 4 Os 2.71
Te (0.0000, 0.0000, 0.0000)  4 N 1.92

---

Record 4
## SbOsN3 (meta-GGA SCAN)

Data for a crystal of SbOsN3 relaxed with PBEsol.

Summary:
Mass density = 9.65 g/cm3
Calculated volume = 61 Å³/cell
Uncorrected formation energy = 11.7 eV/f.u.
Crystal system = cubic
Fermi-level density of states = 0.728 states/eV/atom
Total DFT energy (no corrections) = -0.921 Ha/atom
Spin magnetization = 0.002 Bohr magnetons per cell

a = 3.9344 Å, b = 3.9344 Å, c = 3.9344 Å
α = 90.00°, β = 90.00°, γ = 90.00°
Last column: nearest neighbours and their distance in Å.
Element x y z (fractional)
N (0.0000, 0.0000, 0.5000)  2 Sb 1.97
N (0.5000, 0.0000, 0.0000)  2 Sb 1.97
N (0.0000, 0.5000, 0.0000)  2 Sb 1.97
Sb (0.0000, 0.0000, 0.0000)  6 N 1.97
Os (0.5000, 0.5000, 0.5000)  12 N 2.78

---

Record 5
## Sb2TeOsN (meta-GGA SCAN)

Data for a crystal of Sb2TeOsN relaxed with PBEsol.

Summary:
Mass density = 10.41 g/cm3
Calculated volume = 92 Å³/cell
Uncorrected formation energy = 6.0 eV/f.u.
Crystal system = tetragonal
Fermi-level density of states = 0.396 states/eV/atom
Total DFT energy (no corrections) = -1.374 Ha/atom
Spin magnetization = 0.000 Bohr magnetons per cell

a = 4.4686 Å, b = 4.5320 Å, c = 4.5320 Å
α = 90.00°, β = 90.00°, γ = 90.00°
Last column: nearest neighbours and their distance in Å.
Element x y z (fractional)
N (0.0000, 0.0000, 0.0000)  2 Te 2.23, 4 Sb 2.27
Sb (0.0000, 0.0000, 0.5000)  2 N 2.27
Sb (0.0000, 0.5000, 0.0000)  2 N 2.27
Os (0.5000, 0.5000, 0.5000)  8 Sb 3.18, 4 Te 3.20
Te (0.5000, 0.0000, 0.0000)  2 N 2.23

---

Record 6
## SbTeOsN2 (meta-GGA SCAN)

Data for a crystal of SbTeOsN2 relaxed with PBEsol.

Summary:
Polymorph energy (0 for the lowest one) = 1011 meV per atom
Mass density = 8.08 g/cm3
Calculated volume = 96 Å³/cell
Uncorrected formation energy = 9.8 eV/f.u.
Crystal system = tetragonal
Fermi-level density of states = 0.812 states/eV/atom
Total DFT energy (no corrections) = -1.140 Ha/atom
Spin magnetization = 3.819 Bohr magnetons per cell

a = 3.9122 Å, b = 3.9122 Å, c = 6.2766 Å
α = 90.00°, β = 90.00°, γ = 90.00°
Last column: nearest neighbours and their distance in Å.
Element x y z (fractional)
N (0.5000, 0.0000, 0.0000)  2 Sb 1.96
N (0.0000, 0.5000, 0.0000)  2 Sb 1.96
Os (0.5000, 0.5000, 0.5000)  4 Te 2.77
Te (0.0000, 0.0000, 0.5000)  4 Os 2.77
Sb (0.0000, 0.0000, 0.0000)  4 N 1.96